AcAl3Cr4O12 after structural relaxation. Source: the Alexandria database, functional GGA+U.

```
AcAl3Cr4O12
1.0
-3.734 3.734 3.734
3.734 -3.734 3.734
3.734 3.734 -3.734
Ac Al Cr O
1 3 4 12
Direct
0.000 0.000 0.000
0.000 0.500 0.500
0.500 0.000 0.500
0.500 0.500 0.000
0.000 0.000 0.500
0.000 0.500 0.000
0.500 0.000 0.000
0.500 0.500 0.500
0.148 0.320 0.828
0.172 0.492 0.320
0.172 0.852 0.680
0.320 0.172 0.492
0.320 0.828 0.148
0.492 0.320 0.172
0.508 0.680 0.828
0.680 0.172 0.852
0.680 0.828 0.508
0.828 0.148 0.320
0.828 0.508 0.680
0.852 0.680 0.172
```

Results
Magnetization   12.00 Bohr magnetons per cell
DFT total energy   -7.647 eV per atom